A plane-wave DFT calculation with PBEsol was carried out for crystalline CaAgF5 at its relaxed geometry. Values from VASP.

Geometry as Quantum ESPRESSO input:
```
&SYSTEM
  ibrav = 0, nat = 14, ntyp = 3
/
ATOMIC_SPECIES
Ca 40.08 Ca.upf
Ag 107.87 Ag.upf
F 19.00 F.upf
CELL_PARAMETERS angstrom
5.0004 0.0000 0.0000
0.9753 5.4349 0.0000
2.1396 1.1131 7.3392
ATOMIC_POSITIONS crystal
Ca 0.0357 0.4872 0.2230
Ca 0.9643 0.5128 0.7770
Ag 0.5000 0.0000 0.0000
Ag 0.5000 0.0000 0.5000
F 0.0326 0.2569 0.0150
F 0.1914 0.8124 0.5748
F 0.2393 0.3053 0.5316
F 0.3989 0.7242 0.1914
F 0.4477 0.2077 0.1852
F 0.5523 0.7923 0.8148
F 0.6011 0.2758 0.8086
F 0.7607 0.6947 0.4684
F 0.8086 0.1876 0.4252
F 0.9674 0.7431 0.9850
```

Results
As for the energy relative to the lowest polymorph listed for this composition: 0 meV/atom. The calculation puts the formation energy (no corrections) at -217.2 kJ per mole of atoms. The total energy is -61.68 eV/cell.